[1]
This record from the Alexandria database describes crystalline KTaMn2 at its relaxed geometry. The functional is PBE.

abc: 2.9111 5.5965 4.9164
angles: 90.00 90.00 90.00
Last column: nearest neighbours and their distance in Å.
Positions (direct):
Mn: 0.5000 0.5000 0.0000  4 K 2.86, 6 Mn 2.91-3.15
Mn: 0.0000 0.0000 0.0000  4 Ta 2.86, 6 Mn 2.91-3.15
Ta: 0.5000 0.0000 0.5000  4 Mn 2.86, 2 Ta 2.91, 4 K 3.15
K: 0.0000 0.5000 0.5000  4 Mn 2.86, 2 K 2.91, 4 Ta 3.15

Output
Energy relative to the elements = 1447 meV/atom
VASP energy = -25.50 eV/cell
Excess energy over the best structure of this formula in the dataset = 904.2 meV per atom
Space group = No. 47

---

[2]
This record from the Alexandria database describes crystalline CaBeP2 at its relaxed geometry. The functional is PBE.

abc: 5.5011 5.5011 4.3302
angles: 83.82 83.82 38.39
Last column: nearest neighbours and their distance in Å.
Positions (direct):
P: 0.8117 0.8117 0.7328  2 Be 2.25, 1 P 2.34
P: 0.0308 0.0308 0.8095  2 Be 2.11, 1 P 2.34
Ca: 0.2164 0.2164 0.2589  6 P 2.89-2.99, 2 Be 3.17-3.18
Be: 0.4411 0.4411 0.6988  4 P 2.11-2.25

Output
Energy relative to the elements = -349 meV/atom
VASP energy = -17.94 eV/cell
Space group = No. 8

---

[3]
This record from the Alexandria database describes crystalline Cs4AsI at its relaxed geometry. The functional is PBE.

abc: 6.3119 10.8955 14.1809
angles: 51.33 77.14 73.16
Last column: nearest neighbours and their distance in Å.
Positions (direct):
Cs: 0.4590 0.9013 0.6803  3 As 3.76-3.85, 3 Cs 4.04-4.10
Cs: 0.5410 0.0987 0.3197  3 As 3.76-3.85, 3 Cs 4.04-4.10
Cs: 0.3314 0.7848 0.0525  1 As 3.46
Cs: 0.0407 0.5987 0.8197  3 As 3.76-3.85, 3 Cs 4.04-4.10
Cs: 0.1687 0.7152 0.4475  1 As 3.46
Cs: 0.9593 0.4013 0.1803  3 As 3.76-3.85, 3 Cs 4.04-4.10
Cs: 0.6686 0.2152 0.9475  1 As 3.46
Cs: 0.8313 0.2848 0.5525  1 As 3.46
As: 0.0000 0.0000 0.5000  8 Cs 3.46-3.85
As: 0.5000 0.5000 0.0000  8 Cs 3.46-3.85
I: 0.7507 0.7500 0.2500  8 Cs 4.04-4.28
I: 0.2493 0.2500 0.7500  8 Cs 4.04-4.28

Output
VASP energy = -27.57 eV/cell
E_form (uncorrected) = -695 meV/atom
Space group = No. 12

---

[4]
This record from the Alexandria database describes crystalline LiBeV3 at its relaxed geometry. The functional is PBE.

abc: 4.1647 4.1647 4.1647
angles: 90.00 90.00 90.00
Last column: nearest neighbours and their distance in Å.
Positions (direct):
V: 0.0000 0.5000 0.0000  2 Be 2.08
V: 0.0000 0.0000 0.5000  2 Be 2.08
V: 0.5000 0.0000 0.0000  2 Be 2.08
Be: 0.0000 0.0000 0.0000  6 V 2.08
Li: 0.5000 0.5000 0.5000  12 V 2.94

Output
Energy relative to the elements = 864 meV/atom
VASP energy = -28.68 eV/cell
Excess energy over the best structure of this formula in the dataset = 0.0 meV per atom
Space group = No. 221